This record from the Alexandria database describes crystalline As2PCl at its relaxed geometry. The functional is PBE.

Unit cell a=3.9277 b=3.9277 c=7.5314 alpha=90.00 beta=90.00 gamma=126.57
Fractional coordinates of all 4 atoms:
As (0.0000, 0.0000, 0.9646)
As (0.0000, 0.0000, 0.5354)
Cl (0.5000, 0.5000, 0.2500)
P (0.5000, 0.5000, 0.7500)

## Properties
- Calculated density: 3.8 g/cm³
- Spin magnetization: 0.0 μB/f.u.
- Uncorrected energy: -15.32 eV per cell
- DOS(E_F): 1.99 states/eV/f.u.
- Energy above the most stable polymorph in this dataset: 263 meV/atom
- Symmetry: Cmmm (65)